No. 1
Entry from the Alexandria database: a relaxed structure of Rb3Tb3OsO8 (PBE-GGA).

```
Rb3Tb3OsO8
1.0
3.425 1.978 6.575
-3.425 1.978 6.575
0.000 -3.955 6.575
Rb Tb Os O
3 3 1 8
direct
0.000 0.500 0.500
0.500 0.000 0.500
0.500 0.500 0.000
0.000 0.000 0.500
0.000 0.500 0.000
0.500 0.000 0.000
0.500 0.500 0.500
0.225 0.225 0.225
0.248 0.708 0.708
0.292 0.292 0.752
0.292 0.752 0.292
0.708 0.248 0.708
0.708 0.708 0.248
0.752 0.292 0.292
0.775 0.775 0.775
```

Calculated values
For the total energy, the calculation gives -6.80 eV per atom. The mass density comes out at 6.5 Mg/m³. The calculation puts the raw formation energy at -2290 meV per atom. As for the magnetic moment: 2.0 μB/f.u.



No. 2
Entry from the Alexandria database: a relaxed structure of Rb2TcOsO6 (PBE-GGA).

```
Rb2TcOsO6
1.0
5.612 0.000 0.000
0.000 5.612 0.000
0.000 0.000 4.001
Rb Tc Os O
2 1 1 6
direct
0.000 0.500 0.000
0.500 0.000 0.000
0.000 0.000 0.500
0.500 0.500 0.500
0.000 0.000 0.000
0.251 0.251 0.500
0.251 0.749 0.500
0.500 0.500 0.000
0.749 0.251 0.500
0.749 0.749 0.500
```

Calculated values
For the total energy, the calculation gives -6.61 eV per atom. The mass density comes out at 7.3 Mg/m³. The calculation puts the raw formation energy at -1282 meV per atom. As for the magnetic moment: 0.4 μB/f.u.



No. 3
Entry from the Alexandria database: a relaxed structure of RbTcOsO6 (PBE-GGA).

```
RbTcOsO6
1.0
5.371 0.000 0.000
-2.685 4.651 0.000
0.000 0.000 6.151
Rb Tc Os O
1 1 1 6
direct
0.000 0.000 0.000
0.667 0.333 0.500
0.333 0.667 0.500
0.002 0.399 0.330
0.002 0.603 0.670
0.397 0.399 0.670
0.397 0.998 0.330
0.601 0.603 0.330
0.601 0.998 0.670
```

Calculated values
For the total energy, the calculation gives -7.11 eV per atom. The mass density comes out at 5.1 Mg/m³. The calculation puts the raw formation energy at -1300 meV per atom. As for the magnetic moment: 0.1 μB/f.u.



No. 4
Entry from the Alexandria database: a relaxed structure of RbTeOsO6 (PBE-GGA).

```
RbTeOsO6
1.0
2.676 -4.650 0.000
2.676 4.650 0.000
-0.013 0.000 6.360
Rb Te Os O
1 1 1 6
direct
0.000 0.000 0.000
0.334 0.666 0.500
0.666 0.334 0.500
0.397 0.387 0.675
0.398 0.009 0.324
0.613 0.009 0.675
0.613 0.603 0.325
0.991 0.387 0.325
0.991 0.602 0.676
```

Calculated values
For the total energy, the calculation gives -6.17 eV per atom. The mass density comes out at 5.2 Mg/m³. The calculation puts the raw formation energy at -1162 meV per atom. As for the magnetic moment: 1.2 μB/f.u.



No. 5
Entry from the Alexandria database: a relaxed structure of RbThOsO6 (PBE-GGA).

```
RbThOsO6
1.0
-3.750 3.889 5.052
3.750 -3.889 5.052
3.750 3.889 -5.052
Rb Th Os O
2 2 2 12
direct
0.349 0.099 0.250
0.651 0.901 0.750
0.000 0.500 0.500
0.500 0.500 0.000
0.000 0.000 0.500
0.000 0.500 0.000
0.042 0.344 0.143
0.042 0.899 0.698
0.061 0.311 0.750
0.299 0.101 0.643
0.299 0.656 0.198
0.352 0.602 0.750
0.648 0.398 0.250
0.701 0.344 0.802
0.701 0.899 0.357
0.939 0.689 0.250
0.958 0.101 0.302
0.958 0.656 0.857
```

Calculated values
For the total energy, the calculation gives -7.46 eV per atom. The mass density comes out at 6.8 Mg/m³. The calculation puts the raw formation energy at -1979 meV per atom. As for the magnetic moment: 1.0 μB/f.u.



No. 6
Entry from the Alexandria database: a relaxed structure of Rb2ThOsO6 (PBE-GGA).

```
Rb2ThOsO6
1.0
-3.008 3.008 5.885
3.008 -3.008 5.885
3.008 3.008 -5.885
Rb Th Os O
2 1 1 6
direct
0.250 0.750 0.500
0.750 0.250 0.500
0.000 0.000 0.000
0.500 0.500 0.000
0.175 0.175 0.000
0.287 0.287 0.573
0.287 0.713 0.000
0.713 0.287 0.000
0.713 0.713 0.427
0.825 0.825 0.000
```

Calculated values
For the total energy, the calculation gives -6.89 eV per atom. The mass density comes out at 5.4 Mg/m³. The calculation puts the raw formation energy at -1858 meV per atom. As for the magnetic moment: 0.0 μB/f.u.